# CePuUSi

A relaxed CePuUSi crystal (GGA-PBE, the Alexandria database). Values from VASP.

Computed properties:
Electronic total energy   -9.226 eV/atom
Space-group type   F-43m, No. 216
Formation energy without anion corrections   0.02 eV/atom
Total magnetic moment   8.04 μB/f.u.

The structure in Quantum ESPRESSO input format:
```
&SYSTEM
  ibrav = 0, nat = 4, ntyp = 4
/
ATOMIC_SPECIES
Ce 140.12 Ce.upf
Pu 244.00 Pu.upf
U 238.03 U.upf
Si 28.09 Si.upf
CELL_PARAMETERS angstrom
0.000 3.497 3.497
3.497 0.000 3.497
3.497 3.497 0.000
ATOMIC_POSITIONS angstrom
Ce 0.000 0.000 0.000
Pu 3.497 3.497 3.497
U 5.245 5.245 5.245
Si 1.748 1.748 1.748
```